YMgSc2: optimized geometry, GGA-PBE.

Structure (POSCAR):
```
YMgSc2
1.0
5.6119 -0.0937 0.0000
1.5464 5.3955 0.0000
-3.5792 -2.6509 3.4154
Sc Mg Y
2 1 1
direct
0.2500 0.7500 0.5000 Sc
0.0000 0.0000 0.0000 Sc
0.7500 0.2500 0.5000 Mg
0.5000 0.5000 0.0000 Y
```

- DFT formation energy: 5 kJ per mole of atoms
- D(E_F): 6.500 states/eV/cell
- ρ: 3.25 g cm⁻³
- Space group: I-4m2, No. 119
- Size of the total moment: 0.23 μB per atom